Record 1
Computed, not measured: a relaxed structure of Rb2In4Hg3Bi at the PBE level of DFT. Values from VASP.

Results
* calculated total energy: -1.926 eV per atom
* crystal system: tetragonal
* total moment: 0.0 μB/f.u.
* formation energy: -158 meV per atom

Structure (Quantum ESPRESSO input):
```
&SYSTEM
  ibrav = 0, nat = 10, ntyp = 4
/
ATOMIC_SPECIES
Rb 85.47 Rb.upf
In 114.82 In.upf
Hg 200.59 Hg.upf
Bi 208.98 Bi.upf
ATOMIC_POSITIONS crystal
Rb 0.000 0.500 0.248
Rb 0.500 0.000 0.752
In 0.000 0.000 0.000
In 0.000 0.500 0.638
In 0.500 0.000 0.362
In 0.500 0.500 0.000
Hg 0.000 0.500 0.873
Hg 0.500 0.000 0.127
Hg 0.500 0.500 0.500
Bi 0.000 0.000 0.500
CELL_PARAMETERS angstrom
5.145 0.000 0.000
0.000 5.145 0.000
0.000 0.000 12.527
```

***

Record 2
Computed, not measured: a relaxed structure of InReHgBi2 at the PBE level of DFT. Values from VASP.

Results
* calculated total energy: -3.017 eV per atom
* crystal system: tetragonal
* total moment: 3.9 μB/f.u.
* formation energy: 1633 meV per atom

Structure (Quantum ESPRESSO input):
```
&SYSTEM
  ibrav = 0, nat = 5, ntyp = 4
/
ATOMIC_SPECIES
In 114.82 In.upf
Re 186.21 Re.upf
Hg 200.59 Hg.upf
Bi 208.98 Bi.upf
ATOMIC_POSITIONS crystal
In 0.000 0.000 0.000
Re 0.500 0.500 0.000
Hg 0.000 0.000 0.500
Bi 0.000 0.500 0.500
Bi 0.500 0.000 0.500
CELL_PARAMETERS angstrom
5.712 0.000 0.000
0.000 5.712 0.000
0.000 0.000 5.288
```